No. 1
Entry from Alexandria via LeMat-Bulk: a relaxed MgPtAu crystal (GGA-PBE).

The calculation puts the total energy at -0.15211 Ha/atom. The value obtained for the calculated formation energy is -1.5 eV per formula unit. The offset from the most stable computed form comes out at 5.73 kJ per mole of atoms.

The structure belongs to space group I4mm (No. 107); the cell edges are 3.0244, 3.0244 and 10.9917 Å and the angles 90.00°, 90.00° and 90.00°. The inequivalent atoms are Mg at (0.0000, 0.0000, 0.0000), Pt at (0.0000, 0.0000, 0.6502) and Au at (0.0000, 0.0000, 0.3300).



No. 2
Entry from Alexandria via LeMat-Bulk: a relaxed KBeCr3 crystal (GGA-PBE).

The calculation puts the total energy at -0.20262 Ha/atom. The value obtained for the calculated formation energy is 6.1 eV per formula unit. The offset from the most stable computed form comes out at 0.00 kJ per mole of atoms.

The structure belongs to space group Pm-3m (No. 221); the cell edges are 4.7271, 4.7271 and 4.7271 Å and the angles 90.00°, 90.00° and 90.00°. The inequivalent atoms are K at (0.0000, 0.0000, 0.0000), Be at (0.5000, 0.5000, 0.5000) and Cr at (0.0000, 0.5000, 0.5000).